Crystalline CdFeOF2 at its relaxed geometry. Source: Alexandria via LeMat-Bulk, functional GGA+U.

Cell: 4.281 4.281 4.388 Å, 90.00 90.00 90.00°
Last column: magnetic moment on the atom in μB.
Fractional coordinates of all 5 atoms:
Fe  0.500  0.500  0.500  3.88
O  0.000  0.000  0.500  -0.06
Cd  0.000  0.000  0.000  0.00
F  0.500  0.000  0.000  0.01
F  0.000  0.500  0.000  0.01

Results
volume = 80.4 Å³/f.u.
space group = No. 123
energy above the most stable polymorph in this dataset = 571 meV/atom
magnetic moment = 0.81 μB per atom